Entry 1:
ZrBeNi5: relaxed, PBE.

Values from the calculation:
* symmetry: P4/mmm
* ΔH_f (0 K): -0.238 eV/atom

a = 3.6772 Å, b = 3.6772 Å, c = 6.2927 Å
α = 90.00°, β = 90.00°, γ = 90.00°
With the nearest neighbours (Å) after each atom.
Atoms (fractional coordinates):
Zr 0.0000 0.0000 0.0000  12 Ni 2.60-2.65
Be 0.5000 0.5000 0.5000  8 Ni 2.21
Ni 0.0000 0.5000 0.3043  2 Be 2.21, 1 Ni 2.46
Ni 0.0000 0.5000 0.6957  2 Be 2.21, 1 Ni 2.46
Ni 0.5000 0.0000 0.3043  2 Be 2.21, 1 Ni 2.46
Ni 0.5000 0.0000 0.6957  2 Be 2.21, 1 Ni 2.46
Ni 0.5000 0.5000 0.0000  4 Zr 2.60, 8 Ni 2.65

Entry 2:
Ac2Al4Ga3Si: relaxed, PBE.

Values from the calculation:
* symmetry: P-4m2
* energy relative to the elements, uncorrected: -0.38 eV/atom

a = 4.6521 Å, b = 4.6521 Å, c = 10.1247 Å
α = 90.00°, β = 90.00°, γ = 90.00°
With the nearest neighbours (Å) after each atom.
Atoms (fractional coordinates):
Ac 0.0000 0.5000 0.2417  2 Si 3.38, 6 Ga 3.38-3.53, 9 Al 3.50-3.60
Ac 0.5000 0.0000 0.7583  2 Si 3.38, 6 Ga 3.38-3.53, 9 Al 3.50-3.60
Al 0.0000 0.0000 0.5000  4 Ga 2.68
Al 0.0000 0.5000 0.8856  3 Ga 2.57-2.60, 2 Si 2.60
Al 0.5000 0.0000 0.1144  3 Ga 2.57-2.60, 2 Si 2.60
Al 0.5000 0.5000 0.5000  4 Ga 2.68
Ga 0.0000 0.0000 0.0000  4 Al 2.60
Ga 0.0000 0.5000 0.6316  5 Al 2.57-2.68
Ga 0.5000 0.0000 0.3684  5 Al 2.57-2.68
Si 0.5000 0.5000 0.0000  4 Al 2.60

Entry 3:
TbPuMnTc: relaxed, PBE.

Values from the calculation:
* symmetry: F-43m
* ΔH_f (0 K): 0.103 eV/atom

a = 4.8220 Å, b = 4.8220 Å, c = 4.8220 Å
α = 60.00°, β = 60.00°, γ = 60.00°
With the nearest neighbours (Å) after each atom.
Atoms (fractional coordinates):
Tb 0.0000 0.0000 0.0000  4 Tc 2.95, 4 Mn 2.95
Pu 0.5000 0.5000 0.5000  4 Mn 2.95, 4 Tc 2.95
Mn 0.2500 0.2500 0.2500  4 Tb 2.95, 4 Pu 2.95
Tc 0.7500 0.7500 0.7500  4 Tb 2.95, 4 Pu 2.95